Entry 1:
VASP calculation (GGA-PBE) on a geometry-optimized CaTc4Pb structure.

## Properties
Crystal system = cubic
Electronic total energy = -7.502 eV per atom
ΔE_f = 360.3 meV/atom

a b c (Å): 5.3547 5.3547 5.3547
angles (deg): 60.00 60.00 60.00
Closest atoms and distances in Å follow each position.
Fractional positions:
Ca 0.0000 0.0000 0.0000  12 Tc 3.14, 4 Pb 3.28
Tc 0.3759 0.3759 0.3759  6 Tc 2.66-2.70
Tc 0.3759 0.3759 0.8723  6 Tc 2.66-2.70
Tc 0.3759 0.8723 0.3759  6 Tc 2.66-2.70
Tc 0.8723 0.3759 0.3759  6 Tc 2.66-2.70
Pb 0.7500 0.7500 0.7500  12 Tc 3.14, 4 Ca 3.28

Entry 2:
VASP calculation (GGA-PBE) on a geometry-optimized Ca2TcPb structure.

## Properties
Crystal system = tetragonal
Electronic total energy = -4.238 eV per atom
ΔE_f = 281.5 meV/atom

a b c (Å): 4.6284 4.6284 4.5790
angles (deg): 90.00 90.00 90.00
Closest atoms and distances in Å follow each position.
Fractional positions:
Ca 0.0000 0.5000 0.0000  4 Pb 3.26, 4 Tc 3.26, 4 Ca 3.27
Ca 0.5000 0.0000 0.0000  4 Pb 3.26, 4 Tc 3.26, 4 Ca 3.27
Tc 0.0000 0.0000 0.5000  8 Ca 3.26, 4 Pb 3.27
Pb 0.5000 0.5000 0.5000  8 Ca 3.26, 4 Tc 3.27

Entry 3:
VASP calculation (GGA-PBE) on a geometry-optimized Ca2TcPb structure.

## Properties
Crystal system = cubic
Electronic total energy = -4.234 eV per atom
ΔE_f = 285.5 meV/atom

a b c (Å): 5.1277 5.1277 5.1277
angles (deg): 60.00 60.00 60.00
Closest atoms and distances in Å follow each position.
Fractional positions:
Ca 0.0000 0.0000 0.0000  4 Pb 3.14, 4 Ca 3.14
Ca 0.2500 0.2500 0.2500  4 Tc 3.14, 4 Ca 3.14
Tc 0.5000 0.5000 0.5000  4 Ca 3.14, 4 Pb 3.14
Pb 0.7500 0.7500 0.7500  4 Tc 3.14, 4 Ca 3.14

Entry 4:
VASP calculation (GGA-PBE) on a geometry-optimized Ca2TcPb structure.

## Properties
Crystal system = tetragonal
Electronic total energy = -4.279 eV per atom
ΔE_f = 240.8 meV/atom

a b c (Å): 3.2909 3.2909 9.4118
angles (deg): 90.00 90.00 90.00
Closest atoms and distances in Å follow each position.
Fractional positions:
Ca 0.0000 0.0000 0.2155  4 Tc 3.09, 4 Ca 3.29
Ca 0.0000 0.0000 0.7845  4 Tc 3.09, 4 Ca 3.29
Tc 0.5000 0.5000 0.0000  8 Ca 3.09, 4 Tc 3.29
Pb 0.5000 0.5000 0.5000  4 Pb 3.29, 8 Ca 3.55

Entry 5:
VASP calculation (GGA-PBE) on a geometry-optimized Ca2TcPb structure.

## Properties
Crystal system = orthorhombic
Electronic total energy = -4.242 eV per atom
ΔE_f = 277.4 meV/atom

a b c (Å): 3.3855 4.3602 6.8030
angles (deg): 90.00 90.00 90.00
Closest atoms and distances in Å follow each position.
Fractional positions:
Ca 0.0000 0.0000 0.2323  3 Ca 3.16-3.39, 4 Tc 3.18, 4 Pb 3.31
Ca 0.0000 0.0000 0.7677  3 Ca 3.16-3.39, 4 Tc 3.18, 4 Pb 3.31
Tc 0.5000 0.5000 0.0000  8 Ca 3.18, 2 Tc 3.39, 2 Pb 3.40
Pb 0.5000 0.5000 0.5000  8 Ca 3.31, 2 Pb 3.39, 2 Tc 3.40

Entry 6:
VASP calculation (GGA-PBE) on a geometry-optimized Ca2TcPb structure.

## Properties
Crystal system = monoclinic
Electronic total energy = -4.296 eV per atom
ΔE_f = 223.5 meV/atom

a b c (Å): 6.0470 6.0470 5.1723
angles (deg): 115.30 115.30 37.16
Closest atoms and distances in Å follow each position.
Fractional positions:
Ca 0.0000 0.0000 0.0000  4 Tc 3.24, 4 Ca 3.39-3.49, 4 Pb 3.40-3.47
Ca 0.2151 0.2151 0.7144  2 Tc 3.18, 4 Pb 3.28, 4 Ca 3.39-3.49
Tc 0.4679 0.4679 0.4683  2 Pb 2.76
Pb 0.7742 0.7742 0.2734  2 Tc 2.76

Entry 7:
VASP calculation (GGA-PBE) on a geometry-optimized Ca2TcPb structure.

## Properties
Crystal system = tetragonal
Electronic total energy = -4.192 eV per atom
ΔE_f = 327.6 meV/atom

a b c (Å): 5.2698 5.2698 3.6767
angles (deg): 90.00 90.00 90.00
Closest atoms and distances in Å follow each position.
Fractional positions:
Ca 0.0000 0.5000 0.0000  4 Pb 3.21, 4 Tc 3.21
Ca 0.5000 0.0000 0.0000  4 Pb 3.21, 4 Tc 3.21
Tc 0.0000 0.0000 0.5000  8 Ca 3.21
Pb 0.5000 0.5000 0.5000  8 Ca 3.21

Entry 8:
VASP calculation (GGA-PBE) on a geometry-optimized CaTcTe2Pb structure.

## Properties
Crystal system = tetragonal
Electronic total energy = -3.461 eV per atom
E_form (uncorrected) = 1.01 eV per atom

a b c (Å): 5.7381 5.7381 5.8185
angles (deg): 90.00 90.00 90.00
Closest atoms and distances in Å follow each position.
Fractional positions:
Ca 0.0000 0.0000 0.0000  4 Te 2.87, 2 Pb 2.91
Tc 0.5000 0.5000 0.5000  4 Pb 4.06, 8 Te 4.09
Te 0.0000 0.5000 0.0000  2 Ca 2.87
Te 0.5000 0.0000 0.0000  2 Ca 2.87
Pb 0.0000 0.0000 0.5000  2 Ca 2.91

Entry 9:
VASP calculation (GGA-PBE) on a geometry-optimized CaTiTcPb2 structure.

## Properties
Crystal system = tetragonal
Electronic total energy = -3.763 eV per atom
ΔE_f = 1772.7 meV/atom

a b c (Å): 5.5860 5.5860 4.6912
angles (deg): 90.00 90.00 90.00
Closest atoms and distances in Å follow each position.
Fractional positions:
Ca 0.0000 0.0000 0.0000  2 Ti 2.35
Ti 0.0000 0.0000 0.5000  2 Ca 2.35
Tc 0.5000 0.5000 0.5000  8 Pb 3.65, 4 Ti 3.95
Pb 0.0000 0.5000 0.0000  2 Ca 2.79
Pb 0.5000 0.0000 0.0000  2 Ca 2.79

Entry 10:
VASP calculation (GGA-PBE) on a geometry-optimized CaZr2TcPb structure.

## Properties
Crystal system = tetragonal
Electronic total energy = -5.443 eV per atom
ΔE_f = 1191.5 meV/atom

a b c (Å): 5.4349 5.4349 5.0843
angles (deg): 90.00 90.00 90.00
Closest atoms and distances in Å follow each position.
Fractional positions:
Ca 0.0000 0.0000 0.0000  8 Zr 3.72, 4 Tc 3.84
Zr 0.0000 0.5000 0.5000  2 Pb 2.72
Zr 0.5000 0.0000 0.5000  2 Pb 2.72
Tc 0.5000 0.5000 0.0000  2 Pb 2.54
Pb 0.5000 0.5000 0.5000  2 Tc 2.54, 4 Zr 2.72

Entry 11:
VASP calculation (GGA-PBE) on a geometry-optimized Ca2TePb structure.

## Properties
Crystal system = monoclinic
Electronic total energy = -3.551 eV per atom
E_form (uncorrected) = -0.84 eV per atom

a b c (Å): 5.6263 5.6263 3.8728
angles (deg): 90.65 90.65 99.01
Closest atoms and distances in Å follow each position.
Fractional positions:
Ca 0.0000 0.5000 0.0000  4 Pb 3.40-3.43, 4 Te 3.40-3.43, 2 Ca 3.65
Ca 0.5000 0.0000 0.0000  4 Pb 3.40-3.43, 4 Te 3.40-3.43, 2 Ca 3.65
Te 0.0000 0.0000 0.5000  8 Ca 3.40-3.43, 2 Pb 3.65
Pb 0.5000 0.5000 0.5000  8 Ca 3.40-3.43, 2 Te 3.65

Entry 12:
VASP calculation (GGA-PBE) on a geometry-optimized Ca2TePb structure.

## Properties
Crystal system = orthorhombic
Electronic total energy = -3.497 eV per atom
E_form (uncorrected) = -0.78 eV per atom

a b c (Å): 7.1098 7.1098 7.1098
angles (deg): 146.55 139.57 53.45
Closest atoms and distances in Å follow each position.
Fractional positions:
Ca 0.0000 0.0000 0.0000  4 Te 3.22
Ca 0.7346 0.2346 0.5000  4 Pb 3.28, 2 Te 3.30
Te 0.5311 0.5311 0.0000  6 Ca 3.22-3.30
Pb 0.2911 0.7911 0.5000  6 Ca 3.28-3.62

Entry 13:
VASP calculation (GGA-PBE) on a geometry-optimized CaTe2Pb structure.

## Properties
Crystal system = trigonal
Electronic total energy = -3.507 eV per atom
E_form (uncorrected) = -0.51 eV per atom

a b c (Å): 10.9285 10.9285 10.9285
angles (deg): 20.57 20.57 20.57
Closest atoms and distances in Å follow each position.
Fractional positions:
Ca 0.0000 0.0000 0.0000  6 Te 3.12
Te 0.4006 0.4006 0.4006  3 Ca 3.12, 1 Pb 3.19
Te 0.5994 0.5994 0.5994  3 Ca 3.12, 1 Pb 3.19
Pb 0.5000 0.5000 0.5000  2 Te 3.19

Entry 14:
VASP calculation (GGA-PBE) on a geometry-optimized Ca2TePb2 structure.

## Properties
Crystal system = tetragonal
Electronic total energy = -3.474 eV per atom
E_form (uncorrected) = -0.56 eV per atom

a b c (Å): 8.2441 8.2441 4.9292
angles (deg): 90.00 90.00 90.00
Closest atoms and distances in Å follow each position.
Fractional positions:
Ca 0.1714 0.3286 0.0000  2 Te 3.06, 2 Pb 3.38
Ca 0.3286 0.8286 0.0000  2 Te 3.06, 2 Pb 3.38
Ca 0.6714 0.1714 0.0000  2 Te 3.06, 2 Pb 3.38
Ca 0.8286 0.6714 0.0000  2 Te 3.06, 2 Pb 3.38
Te 0.0000 0.0000 0.0000  4 Ca 3.06
Te 0.5000 0.5000 0.0000  4 Ca 3.06
Pb 0.1299 0.6299 0.5000  1 Pb 3.03, 2 Ca 3.38
Pb 0.3701 0.1299 0.5000  1 Pb 3.03, 2 Ca 3.38
Pb 0.6299 0.8701 0.5000  1 Pb 3.03, 2 Ca 3.38
Pb 0.8701 0.3701 0.5000  1 Pb 3.03, 2 Ca 3.38

Entry 15:
VASP calculation (GGA-PBE) on a geometry-optimized CaTePb structure.

## Properties
Crystal system = cubic
Electronic total energy = -3.392 eV per atom
E_form (uncorrected) = -0.44 eV per atom

a b c (Å): 5.3498 5.3498 5.3498
angles (deg): 60.00 60.00 60.00
Closest atoms and distances in Å follow each position.
Fractional positions:
Ca 0.0000 0.0000 0.0000  4 Te 3.28
Te 0.7500 0.7500 0.7500  4 Pb 3.28, 4 Ca 3.28
Pb 0.5000 0.5000 0.5000  4 Te 3.28

Entry 16:
VASP calculation (GGA-PBE) on a geometry-optimized Ca2TePb structure.

## Properties
Crystal system = monoclinic
Electronic total energy = -3.539 eV per atom
E_form (uncorrected) = -0.83 eV per atom

a b c (Å): 6.4923 6.4923 5.2195
angles (deg): 99.65 99.65 35.59
Closest atoms and distances in Å follow each position.
Fractional positions:
Ca 0.0000 0.0000 0.0000  4 Te 3.23-3.33, 3 Pb 3.24-3.55
Ca 0.2405 0.2405 0.5255  4 Pb 3.26-3.30, 3 Te 3.31-3.49
Te 0.5072 0.5072 0.5150  7 Ca 3.23-3.49, 1 Pb 3.55
Pb 0.7399 0.7399 0.0211  7 Ca 3.24-3.55, 1 Te 3.55

Entry 17:
VASP calculation (GGA-PBE) on a geometry-optimized CaTePb structure.

## Properties
Crystal system = trigonal
Electronic total energy = -3.415 eV per atom
E_form (uncorrected) = -0.46 eV per atom

a b c (Å): 5.3463 5.3463 3.9641
angles (deg): 90.00 90.00 120.00
Closest atoms and distances in Å follow each position.
Fractional positions:
Ca 0.0000 0.0000 0.0000  6 Te 3.49-3.88, 6 Pb 3.59-3.75
Te 0.3333 0.6667 0.5911  3 Pb 3.13, 3 Ca 3.49
Pb 0.6667 0.3333 0.4625  3 Te 3.13

Entry 18:
VASP calculation (GGA-PBE) on a geometry-optimized CaTe2Pb2 structure.

## Properties
Crystal system = tetragonal
Electronic total energy = -3.564 eV per atom
E_form (uncorrected) = -0.42 eV per atom

a b c (Å): 6.4287 6.4287 6.4287
angles (deg): 122.13 122.13 86.34
Closest atoms and distances in Å follow each position.
Fractional positions:
Ca 0.0000 0.0000 0.0000  2 Pb 3.16
Te 0.2500 0.7500 0.5000  4 Pb 3.22
Te 0.7500 0.2500 0.5000  4 Pb 3.22
Pb 0.3370 0.3370 0.0000  1 Pb 3.06, 1 Ca 3.16, 4 Te 3.22
Pb 0.6630 0.6630 0.0000  1 Pb 3.06, 1 Ca 3.16, 4 Te 3.22

Entry 19:
VASP calculation (GGA-PBE) on a geometry-optimized CaTe2Pb structure.

## Properties
Crystal system = trigonal
Electronic total energy = -3.864 eV per atom
E_form (uncorrected) = -0.87 eV per atom

a b c (Å): 4.7601 4.7601 8.2298
angles (deg): 90.00 90.00 120.00
Closest atoms and distances in Å follow each position.
Fractional positions:
Ca 0.0000 0.0000 0.0000  4 Te 3.05-3.06
Te 0.0000 0.0000 0.6295  1 Ca 3.05, 3 Pb 3.15
Te 0.6667 0.3333 0.1635  3 Ca 3.06
Pb 0.3333 0.6667 0.4414  3 Te 3.15

Entry 20:
VASP calculation (GGA-PBE) on a geometry-optimized Ca2TePb structure.

## Properties
Crystal system = trigonal
Electronic total energy = -3.676 eV per atom
E_form (uncorrected) = -0.96 eV per atom

a b c (Å): 9.0305 9.0305 9.0305
angles (deg): 26.97 26.97 26.97
Closest atoms and distances in Å follow each position.
Fractional positions:
Ca 0.2413 0.2413 0.2413  3 Te 3.12, 3 Pb 3.42
Ca 0.7587 0.7587 0.7587  3 Te 3.12, 3 Pb 3.42
Te 0.5000 0.5000 0.5000  6 Ca 3.12
Pb 0.0000 0.0000 0.0000  6 Ca 3.42